Computed, not measured: Y2SiGe3Ir4 after structural relaxation at the PBE level of DFT.

Geometry as CIF:
```
data_Y2SiGe3Ir4
_chemical_formula_sum 'Y2 Si1 Ge3 Ir4'
_symmetry_space_group_name_H-M 'P 1'
_symmetry_Int_Tables_number 1
_symmetry_space_group_name_Hall 'P 1'
_cell_length_a 4.2062
_cell_length_b 4.2062
_cell_length_c 10.0917
_cell_angle_alpha 90.00
_cell_angle_beta 90.00
_cell_angle_gamma 90.00
loop_
_atom_site_label
_atom_site_type_symbol
_atom_site_fract_x
_atom_site_fract_y
_atom_site_fract_z
Ir1 Ir 0.5000 0.0000 0.6249
Ir2 Ir 0.5000 0.5000 0.0000
Ir3 Ir 0.0000 0.0000 0.0000
Ir4 Ir 0.0000 0.5000 0.3751
Si1 Si 0.5000 0.5000 0.5000
Y1 Y 0.0000 0.5000 0.7444
Y2 Y 0.5000 0.0000 0.2556
Ge1 Ge 0.5000 0.0000 0.8658
Ge2 Ge 0.0000 0.5000 0.1342
Ge3 Ge 0.0000 0.0000 0.5000
```

- crystal system = tetragonal
- formation energy from raw total energies (kJ per mole of atoms) = -79.3
- space-group type = P-4m2

---

Computed, not measured: ZnSiGe2Ir after structural relaxation at the PBE level of DFT.

Geometry as CIF:
```
data_ZnSiGe2Ir
_chemical_formula_sum 'Zn1 Si1 Ge2 Ir1'
_symmetry_space_group_name_H-M 'P 1'
_symmetry_Int_Tables_number 1
_symmetry_space_group_name_Hall 'P 1'
_cell_length_a 4.7203
_cell_length_b 4.9046
_cell_length_c 4.7203
_cell_angle_alpha 90.00
_cell_angle_beta 90.00
_cell_angle_gamma 90.00
loop_
_atom_site_label
_atom_site_type_symbol
_atom_site_fract_x
_atom_site_fract_y
_atom_site_fract_z
Si1 Si 0.5000 0.5000 0.5000
Ge1 Ge 0.5000 0.0000 0.0000
Ge2 Ge 0.0000 0.0000 0.5000
Ir1 Ir 0.0000 0.0000 0.0000
Zn1 Zn 0.0000 0.5000 0.0000
```

- crystal system = tetragonal
- formation energy from raw total energies (kJ per mole of atoms) = 47.2
- space-group type = P4/mmm

---

no.,density of states at the Fermi level (states/eV per atom)
1,0.436
2,0.840